11
Lattice="4.259 0.000 0.000 0.000 4.259 0.000 0.000 0.000 11.058" Properties=species:S:1:pos:R:3 comment="Dy2Ga8Ni PBE optimized geometry" e_tot_ev_per_cell=-44.6 pbc="T T T"
Dy 0.000 0.000 2.140
Dy 0.000 0.000 8.918
Ga 0.000 2.130 0.000
Ga 0.000 2.130 4.213
Ga 0.000 2.130 6.844
Ga 2.130 0.000 0.000
Ga 2.130 0.000 4.213
Ga 2.130 0.000 6.844
Ga 2.130 2.130 2.163
Ga 2.130 2.130 8.894
Ni 0.000 0.000 5.529



5
Lattice="-2.090 2.090 5.084 2.090 -2.090 5.084 2.090 2.090 -5.084" Properties=species:S:1:pos:R:3 comment="DyGa3Ni PBE optimized geometry" relative_energy_ev_per_atom=0.000 pbc="T T T"
Dy 0.000 0.000 0.000
Ga 2.090 0.000 2.534
Ga 0.000 0.000 4.219
Ga 0.000 2.090 2.534
Ni 0.000 0.000 6.511



12
Lattice="5.453 0.000 0.000 0.000 6.891 0.000 -1.841 0.000 7.974" Properties=species:S:1:pos:R:3 comment="Dy4GaNi PBE optimized geometry" relative_energy_ev_per_atom=0.000 pbc="T T T"
Dy 0.656 1.723 0.566
Dy 0.604 5.168 3.037
Dy 0.313 3.483 6.104
Dy 0.313 6.853 6.104
Dy 3.299 0.038 1.870
Dy 3.299 3.407 1.870
Dy 3.009 1.723 4.937
Dy 2.957 5.168 7.407
Ga 0.331 1.723 3.488
Ga 3.281 5.168 4.486
Ni 1.755 5.168 0.435
Ni 1.857 1.723 7.539



20
Lattice="8.228 0.000 0.000 0.000 5.124 0.000 -0.580 0.000 11.301" Properties=species:S:1:pos:R:3 comment="Dy3GaNi PBE optimized geometry" e_tot_ev_per_cell=-97.8 pbc="T T T"
Dy -0.108 0.491 4.017
Dy -0.398 2.071 9.668
Dy 2.230 2.728 4.777
Dy 1.940 4.957 10.428
Dy 2.878 0.120 7.110
Dy 3.168 2.442 1.459
Dy 4.480 2.682 9.842
Dy 4.771 5.004 4.191
Dy 5.708 0.166 0.874
Dy 5.418 2.395 6.524
Dy 8.046 3.053 1.634
Dy 7.756 4.632 7.284
Ga 2.068 2.677 8.162
Ga 2.358 5.009 2.512
Ga 5.290 0.115 8.790
Ga 5.580 2.447 3.139
Ni 0.559 0.575 0.930
Ni 0.269 1.987 6.581
Ni 7.379 3.136 4.720
Ni 7.089 4.549 10.371



10
Lattice="4.150 0.000 0.000 0.000 4.150 0.000 0.000 0.000 10.718" Properties=species:S:1:pos:R:3 comment="Dy2Ga7Ni PBE optimized geometry" e_tot_ev_per_cell=-40.5 pbc="T T T"
Dy 0.000 2.075 2.559
Dy 2.075 0.000 8.159
Ga 0.000 0.000 0.000
Ga 0.000 0.000 5.359
Ga 0.000 2.075 6.918
Ga 0.000 2.075 9.362
Ga 2.075 0.000 1.356
Ga 2.075 0.000 3.800
Ga 2.075 2.075 5.359
Ni 2.075 2.075 0.000



6
Lattice="5.244 0.000 0.000 -2.622 4.542 0.000 0.000 0.000 3.983" Properties=species:S:1:pos:R:3 comment="DyGa3Ni2 PBE optimized geometry" e_tot_ev_per_cell=-28.6 pbc="T T T"
Dy 0.000 0.000 0.000
Ga -1.311 2.271 1.991
Ga 2.622 0.000 1.991
Ga 1.311 2.271 1.991
Ni 0.000 3.028 0.000
Ni 2.622 1.514 0.000



5
Lattice="3.085 -3.388 0.000 3.085 3.388 0.000 0.000 0.000 4.550" Properties=species:S:1:pos:R:3 comment="DyGa3Ni PBE optimized geometry" relative_energy_ev_per_atom=0.251 pbc="T T T"
Dy 0.000 0.000 0.000
Ga 1.542 1.694 2.275
Ga 1.542 -1.694 2.275
Ga 3.085 0.000 0.000
Ni 3.085 0.000 2.275



10
Lattice="2.353 -7.841 0.000 2.353 7.841 0.000 0.000 0.000 4.556" Properties=species:S:1:pos:R:3 comment="DyGaNi3 PBE optimized geometry" e_tot_ev_per_cell=-51.0 pbc="T T T"
Dy 2.353 6.452 3.417
Dy 2.353 -6.452 1.139
Ga 2.353 2.159 3.417
Ga 2.353 -2.159 1.139
Ni 1.241 3.651 1.139
Ni 1.241 -3.651 3.417
Ni 2.353 0.000 0.000
Ni 2.353 0.000 2.278
Ni 3.465 3.651 1.139
Ni 3.465 -3.651 3.417



28
Lattice="4.114 0.000 0.000 0.000 12.422 0.000 0.000 0.000 8.905" Properties=species:S:1:pos:R:3 comment="Dy3Ga6Ni5 PBE optimized geometry" e_tot_ev_per_cell=-138.6 pbc="T T T"
Dy 1.028 0.626 2.199
Dy 1.028 5.585 2.199
Dy 1.028 9.317 2.346
Dy 3.085 3.106 6.559
Dy 3.085 6.837 6.706
Dy 3.085 11.796 6.706
Ga 1.028 0.900 5.251
Ga 1.028 3.106 0.321
Ga 1.028 3.106 3.699
Ga 1.028 5.311 5.251
Ga 1.028 7.451 8.742
Ga 1.028 11.182 8.742
Ga 3.085 1.240 0.163
Ga 3.085 4.971 0.163
Ga 3.085 7.111 3.654
Ga 3.085 9.317 5.206
Ga 3.085 9.317 8.584
Ga 3.085 11.522 3.654
Ni 1.028 1.140 7.726
Ni 1.028 5.071 7.726
Ni 1.028 7.924 4.832
Ni 1.028 9.317 6.973
Ni 1.028 10.709 4.832
Ni 3.085 1.713 4.073
Ni 3.085 3.106 1.932
Ni 3.085 4.498 4.073
Ni 3.085 7.351 1.179
Ni 3.085 11.282 1.179



17
Lattice="-4.268 4.268 4.268 4.268 -4.268 4.268 4.268 4.268 -4.268" Properties=species:S:1:pos:R:3 comment="DyGa12Ni4 PBE optimized geometry" e_tot_ev_per_cell=-66.5 pbc="T T T"
Dy 0.000 0.000 0.000
Ga 4.268 2.819 -1.391
Ga 2.877 0.000 1.449
Ga 5.659 0.000 1.449
Ga 1.449 2.877 0.000
Ga 2.819 -1.391 4.268
Ga 4.268 2.819 1.391
Ga 0.000 1.449 2.877
Ga 1.449 5.659 0.000
Ga 2.819 1.391 4.268
Ga -1.391 4.268 2.819
Ga 1.391 4.268 2.819
Ga 0.000 1.449 5.659
Ni 2.134 2.134 -2.134
Ni 2.134 -2.134 2.134
Ni -2.134 2.134 2.134
Ni 2.134 2.134 2.134



9
Lattice="0.000 4.607 6.269 2.602 0.000 6.269 2.602 4.607 0.000" Properties=species:S:1:pos:R:3 comment="Dy2Ga4Ni3 PBE optimized geometry" e_tot_ev_per_cell=-43.3 pbc="T T T"
Dy 2.602 4.607 1.599
Dy 2.602 4.607 10.939
Ga 2.602 3.031 4.264
Ga 2.602 3.031 8.274
Ga 2.602 6.182 4.264
Ga 2.602 6.182 8.274
Ni 1.301 2.303 0.000
Ni 1.301 2.303 6.269
Ni 2.602 4.607 6.269



13
Lattice="4.803 -4.272 0.000 4.803 4.272 0.000 -2.678 0.000 4.310" Properties=species:S:1:pos:R:3 comment="DyGa5Ni7 PBE optimized geometry" e_tot_ev_per_cell=-64.5 pbc="T T T"
Dy 0.000 0.000 0.000
Ga -0.321 2.031 4.261
Ga 1.003 2.032 2.136
Ga -0.321 -2.031 4.261
Ga 1.003 -2.032 2.136
Ga 6.732 0.000 1.200
Ni 3.391 2.359 2.104
Ni 0.149 0.000 3.078
Ni 2.427 0.000 1.509
Ni 2.114 1.258 4.304
Ni 2.114 -1.258 4.304
Ni 4.516 0.000 2.801
Ni 3.391 -2.359 2.104



no.,size of the total moment (μB/f.u.)
1,0.00
2,0.00
3,0.00
4,0.00
5,0.00
6,0.00
7,0.00
8,0.00
9,0.00
10,0.00
11,0.00
12,0.00